w.
First-principles (PBE+U) data for an optimized crystal structure of YCrOF2, as listed in Alexandria via LeMat-Bulk.

Calculated values
Symmetry: No. 123
N(E_F) (states/eV per atom): 0.40
ρ (g/cm3): 4.61

Structure (POSCAR):
```
YCrOF2
1.0
4.2055 0.0000 0.0000
0.0000 4.2055 0.0000
0.0000 0.0000 3.9654
Y Cr O F
1 1 1 2
Cartesian
0.0000 0.0000 0.0000 Y
2.1028 2.1028 1.9827 Cr
2.1028 2.1028 0.0000 O
0.0000 2.1028 1.9827 F
2.1028 0.0000 1.9827 F
```

***

x.
First-principles (PBE+U) data for an optimized crystal structure of YCrOF2, as listed in Alexandria via LeMat-Bulk.

Calculated values
Symmetry: No. 123
N(E_F) (states/eV per atom): 0.10
ρ (g/cm3): 3.79

Structure (POSCAR):
```
YCrOF2
1.0
4.4068 0.0000 0.0000
0.0000 4.4068 0.0000
0.0000 0.0000 4.4017
Y Cr O F
1 1 1 2
Cartesian
0.0000 0.0000 0.0000 Y
2.2034 2.2034 2.2009 Cr
0.0000 0.0000 2.2009 O
0.0000 2.2034 0.0000 F
2.2034 0.0000 0.0000 F
```

***

Which structure is the least stable? The one labeled w.

***

w.
First-principles (PBE+U) data for an optimized crystal structure of ZnCrOF2, as listed in Alexandria via LeMat-Bulk.

Calculated values
Symmetry: No. 123
N(E_F) (states/eV per atom): 0.14
ρ (g/cm3): 4.55

Structure (POSCAR):
```
ZnCrOF2
1.0
3.9045 0.0000 0.0000
0.0000 3.9045 0.0000
0.0000 0.0000 4.1065
Zn Cr O F
1 1 1 2
Cartesian
0.0000 0.0000 0.0000 Zn
1.9522 1.9522 2.0533 Cr
0.0000 0.0000 2.0533 O
0.0000 1.9522 0.0000 F
1.9522 0.0000 0.0000 F
```

***

x.
First-principles (PBE+U) data for an optimized crystal structure of ZnCrOF2, as listed in Alexandria via LeMat-Bulk.

Calculated values
Symmetry: No. 123
N(E_F) (states/eV per atom): 0.49
ρ (g/cm3): 4.56

Structure (POSCAR):
```
ZnCrOF2
1.0
3.9620 0.0000 0.0000
0.0000 3.9620 0.0000
0.0000 0.0000 3.9793
Zn Cr O F
1 1 1 2
Cartesian
0.0000 0.0000 0.0000 Zn
1.9810 1.9810 1.9896 Cr
1.9810 1.9810 0.0000 O
0.0000 1.9810 1.9896 F
1.9810 0.0000 1.9896 F
```

***

Which structure is the least stable? The one labeled w.

***

w.
First-principles (PBE+U) data for an optimized crystal structure of ZrCrOF2, as listed in Alexandria via LeMat-Bulk.

Calculated values
Symmetry: No. 123
N(E_F) (states/eV per atom): 0.67
ρ (g/cm3): 4.82

Structure (POSCAR):
```
ZrCrOF2
1.0
4.1225 0.0000 0.0000
0.0000 4.1225 0.0000
0.0000 0.0000 3.9979
Zr Cr O F
1 1 1 2
Cartesian
0.0000 0.0000 0.0000 Zr
2.0612 2.0612 1.9989 Cr
2.0612 2.0612 0.0000 O
0.0000 2.0612 1.9989 F
2.0612 0.0000 1.9989 F
```

***

x.
First-principles (PBE+U) data for an optimized crystal structure of ZrCrOF2, as listed in Alexandria via LeMat-Bulk.

Calculated values
Symmetry: No. 123
N(E_F) (states/eV per atom): 0.54
ρ (g/cm3): 4.18

Structure (POSCAR):
```
ZrCrOF2
1.0
4.3697 0.0000 0.0000
0.0000 4.3697 0.0000
0.0000 0.0000 4.1012
Zr Cr O F
1 1 1 2
Cartesian
0.0000 0.0000 0.0000 Zr
2.1849 2.1849 2.0506 Cr
0.0000 0.0000 2.0506 O
0.0000 2.1849 0.0000 F
2.1849 0.0000 0.0000 F
```

***

Which structure is the least stable? The one labeled w.

***

w.
First-principles (PBE+U) data for an optimized crystal structure of CrOsF3, as listed in Alexandria via LeMat-Bulk.

Calculated values
Symmetry: No. 221
N(E_F) (states/eV per atom): 2.78
ρ (g/cm3): 7.85

Structure (POSCAR):
```
CrOsF3
1.0
3.9849 0.0000 0.0000
0.0000 3.9849 0.0000
0.0000 0.0000 3.9849
Cr Os F
1 1 3
Cartesian
0.0000 0.0000 0.0000 Cr
1.9925 1.9925 1.9925 Os
0.0000 0.0000 1.9925 F
0.0000 1.9925 0.0000 F
1.9925 0.0000 0.0000 F
```

***

x.
First-principles (PBE+U) data for an optimized crystal structure of CrOsF3, as listed in Alexandria via LeMat-Bulk.

Calculated values
Symmetry: No. 221
N(E_F) (states/eV per atom): 0.55
ρ (g/cm3): 6.66

Structure (POSCAR):
```
CrOsF3
1.0
4.2105 0.0000 0.0000
0.0000 4.2105 0.0000
0.0000 0.0000 4.2105
Cr Os F
1 1 3
Cartesian
0.0000 0.0000 0.0000 Cr
2.1053 2.1053 2.1053 Os
0.0000 2.1053 2.1053 F
2.1053 0.0000 2.1053 F
2.1053 2.1053 0.0000 F
```

***

Which structure is the least stable? The one labeled w.

***

w.
First-principles (PBE+U) data for an optimized crystal structure of CrOs2F, as listed in Alexandria via LeMat-Bulk.

Calculated values
Symmetry: No. 122
N(E_F) (states/eV per atom): 0.89
ρ (g/cm3): 11.41

Structure (POSCAR):
```
CrOs2F
1.0
-3.9759 3.9759 2.0775
3.9759 -3.9759 2.0775
3.9759 3.9759 -2.0775
Cr Os F
2 4 2
Cartesian
0.0000 0.0000 0.0000 Cr
0.0000 3.9759 1.0388 Cr
1.9880 2.5316 -0.5194 Os
5.4203 1.9880 0.5194 Os
1.9880 1.4443 1.5582 Os
-1.4443 1.9880 2.5969 Os
3.9759 0.0000 1.0388 F
0.0000 0.0000 2.0775 F
```

***

x.
First-principles (PBE+U) data for an optimized crystal structure of CrOs2F, as listed in Alexandria via LeMat-Bulk.

Calculated values
Symmetry: No. 225
N(E_F) (states/eV per atom): 1.47
ρ (g/cm3): 14.67

Structure (POSCAR):
```
CrOs2F
1.0
0.0000 2.9455 2.9455
2.9455 0.0000 2.9455
2.9455 2.9455 0.0000
Cr Os F
1 2 1
Cartesian
0.0000 0.0000 0.0000 Cr
1.4727 1.4727 1.4727 Os
4.4182 4.4182 4.4182 Os
2.9455 2.9455 2.9455 F
```

***

Which structure is the least stable? The one labeled x.

***

w.
First-principles (PBE+U) data for an optimized crystal structure of CrPF2, as listed in Alexandria via LeMat-Bulk.

Calculated values
Symmetry: No. 225
N(E_F) (states/eV per atom): 0.76
ρ (g/cm3): 4.08

Structure (POSCAR):
```
CrPF2
1.0
0.0000 2.9083 2.9083
2.9083 0.0000 2.9083
2.9083 2.9083 0.0000
Cr P F
1 1 2
Cartesian
0.0000 0.0000 0.0000 Cr
2.9083 2.9083 2.9083 P
1.4541 1.4541 1.4541 F
4.3624 4.3624 4.3624 F
```

***

x.
First-principles (PBE+U) data for an optimized crystal structure of CrPF2, as listed in Alexandria via LeMat-Bulk.

Calculated values
Symmetry: No. 166
N(E_F) (states/eV per atom): 0.54
ρ (g/cm3): 3.46

Structure (POSCAR):
```
CrPF2
1.0
1.4614 0.8437 7.8526
-1.4614 0.8437 7.8526
0.0000 -1.6874 7.8526
Cr P F
1 1 2
Cartesian
0.0000 0.0000 0.0000 Cr
0.0000 0.0000 11.7789 P
0.0000 0.0000 1.9259 F
0.0000 0.0000 21.6318 F
```

***

y.
First-principles (PBE+U) data for an optimized crystal structure of CrPF2, as listed in Alexandria via LeMat-Bulk.

Calculated values
Symmetry: No. 122
N(E_F) (states/eV per atom): 0.35
ρ (g/cm3): 3.28

Structure (POSCAR):
```
CrPF2
1.0
-3.4613 3.4613 2.5562
3.4613 -3.4613 2.5562
3.4613 3.4613 -2.5562
Cr P F
2 2 4
Cartesian
0.0000 0.0000 0.0000 Cr
0.0000 3.4613 1.2781 Cr
3.4613 0.0000 1.2781 P
0.0000 0.0000 2.5562 P
0.8370 1.7306 0.6390 F
-1.7306 2.6242 1.9171 F
-0.8370 5.1919 0.6390 F
1.7306 4.2983 1.9171 F
```

***

Which structure is the least stable? The one labeled w.

***

w.
First-principles (PBE+U) data for an optimized crystal structure of CrP2F, as listed in Alexandria via LeMat-Bulk.

Calculated values
Symmetry: No. 122
N(E_F) (states/eV per atom): 0.56
ρ (g/cm3): 3.62

Structure (POSCAR):
```
CrP2F
1.0
-1.6967 1.6967 10.5956
1.6967 -1.6967 10.5956
1.6967 1.6967 -10.5956
Cr P F
2 4 2
Cartesian
0.0000 0.0000 0.0000 Cr
0.0000 1.6967 5.2978 Cr
2.5451 0.7144 -2.6489 P
0.7144 0.8484 2.6489 P
-0.8484 0.9823 7.9467 P
0.9823 0.8484 13.2445 P
1.6967 0.0000 5.2978 F
0.0000 0.0000 10.5956 F
```

***

x.
First-principles (PBE+U) data for an optimized crystal structure of CrP2F, as listed in Alexandria via LeMat-Bulk.

Calculated values
Symmetry: No. 225
N(E_F) (states/eV per atom): 0.83
ρ (g/cm3): 4.35

Structure (POSCAR):
```
CrP2F
1.0
0.0000 2.9387 2.9387
2.9387 0.0000 2.9387
2.9387 2.9387 0.0000
Cr P F
1 2 1
Cartesian
0.0000 0.0000 0.0000 Cr
1.4693 1.4693 1.4693 P
4.4080 4.4080 4.4080 P
2.9387 2.9387 2.9387 F
```

***

Which structure is the least stable? The one labeled x.

***

w.
First-principles (PBE+U) data for an optimized crystal structure of CrPF3, as listed in Alexandria via LeMat-Bulk.

Calculated values
Symmetry: No. 221
N(E_F) (states/eV per atom): 0.95
ρ (g/cm3): 3.30

Structure (POSCAR):
```
CrPF3
1.0
4.1306 0.0000 0.0000
0.0000 4.1306 0.0000
0.0000 0.0000 4.1306
Cr P F
1 1 3
Cartesian
0.0000 0.0000 0.0000 Cr
2.0653 2.0653 2.0653 P
0.0000 0.0000 2.0653 F
0.0000 2.0653 0.0000 F
2.0653 0.0000 0.0000 F
```

***

x.
First-principles (PBE+U) data for an optimized crystal structure of CrPF3, as listed in Alexandria via LeMat-Bulk.

Calculated values
Symmetry: No. 221
N(E_F) (states/eV per atom): 0.64
ρ (g/cm3): 3.06

Structure (POSCAR):
```
CrPF3
1.0
4.2345 0.0000 0.0000
0.0000 4.2345 0.0000
0.0000 0.0000 4.2345
Cr P F
1 1 3
Cartesian
0.0000 0.0000 0.0000 Cr
2.1173 2.1173 2.1173 P
0.0000 2.1173 2.1173 F
2.1173 0.0000 2.1173 F
2.1173 2.1173 0.0000 F
```

***

Which structure is the least stable? The one labeled x.